Na7Pb5: optimized geometry, PBE.

Summary:
Size of the total moment   0.00 μB per cell
VASP energy   -2.439 eV per atom
Theoretical density   5.7 g/cm3
Density of states at the Fermi level   5.0 states/eV/f.u.
Calculated volume   351.0 Å³ per cell

a b c (Å): 6.1699 6.1699 11.4181
angles (deg): 90.91 90.91 53.86
Atoms (fractional coordinates):
Na 0.0000 0.0000 0.0000
Na 0.1648 0.1648 0.7498
Na 0.3311 0.3311 0.5023
Na 0.4956 0.4956 0.2483
Na 0.5044 0.5044 0.7517
Na 0.6689 0.6689 0.4977
Na 0.8352 0.8352 0.2502
Pb 0.0000 0.0000 0.5000
Pb 0.1646 0.1646 0.2542
Pb 0.3305 0.3305 0.9942
Pb 0.6695 0.6695 0.0058
Pb 0.8354 0.8354 0.7458